Crystalline NpIrOs at its relaxed geometry. Source: OQMD, functional PBE.

The structure in POSCAR format:
```
NpIrOs
1.0
0.0000 3.1059 3.1059
3.1059 0.0000 3.1059
3.1059 3.1059 0.0000
Ir Np Os
1 1 1
Direct
0.2500 0.2500 0.2500 Ir
0.7500 0.7500 0.7500 Np
0.0000 0.0000 0.0000 Os
```

magnetic moment: 2.2 μB/cell
energy above the lowest structure with this stoichiometry: 0 meV/atom



Crystalline GdHgBi at its relaxed geometry. Source: OQMD, functional PBE.

The structure in POSCAR format:
```
GdHgBi
1.0
0.0000 3.6827 3.6827
3.6827 0.0000 3.6827
3.6827 3.6827 0.0000
Bi Gd Hg
1 1 1
Direct
0.2500 0.2500 0.2500 Bi
0.0000 0.0000 0.0000 Gd
0.7500 0.7500 0.7500 Hg
```

magnetic moment: 0.0 μB/cell
energy above the lowest structure with this stoichiometry: 0 meV/atom



Crystalline LiTaNiBi at its relaxed geometry. Source: OQMD, functional PBE.

The structure in POSCAR format:
```
LiTaNiBi
1.0
-2.5426 -3.7013 0.7645
-0.9653 -1.2579 4.2703
-4.2417 0.4415 1.6007
Bi Li Ni Ta
1 1 1 1
Direct
0.0000 0.0000 0.0000 Bi
0.2500 0.2500 0.2500 Li
0.7500 0.7500 0.7500 Ni
0.5000 0.5000 0.5000 Ta
```

magnetic moment: 0.6 μB/cell
energy above the lowest structure with this stoichiometry: 0 meV/atom



Crystalline NdTlNO at its relaxed geometry. Source: OQMD, functional PBE.

The structure in POSCAR format:
```
NdTlNO
1.0
-1.4489 -1.1039 -3.7474
2.9456 -5.0899 0.3605
-5.1474 -2.7799 2.8092
N Nd O Tl
2 2 2 2
Direct
0.0000 0.8853 0.3414 N
0.0000 0.3853 0.6586 N
0.0000 0.4849 0.3077 Nd
0.0000 0.9849 0.6923 Nd
0.5000 0.4067 0.1720 O
0.5000 0.9067 0.8280 O
0.5000 0.9771 0.1994 Tl
0.5000 0.4771 0.8006 Tl
```

magnetic moment: 0.0 μB/cell
energy above the lowest structure with this stoichiometry: 51 meV/atom



Crystalline PrGaNi at its relaxed geometry. Source: OQMD, functional PBE.

The structure in POSCAR format:
```
PrGaNi
1.0
-5.6633 4.2456 -0.8149
-2.0284 -3.1676 -2.4062
-2.9741 -2.7828 6.1706
Ga Ni Pr
4 4 4
Direct
0.8259 0.2500 0.0832 Ga
0.3259 0.2500 0.4168 Ga
0.6741 0.7500 0.5832 Ga
0.1741 0.7500 0.9168 Ga
0.1981 0.2500 0.0897 Ni
0.6981 0.2500 0.4103 Ni
0.3019 0.7500 0.5897 Ni
0.8019 0.7500 0.9103 Ni
0.5258 0.7500 0.1944 Pr
0.0258 0.7500 0.3056 Pr
0.9742 0.2500 0.6944 Pr
0.4742 0.2500 0.8056 Pr
```

magnetic moment: 0.0 μB/cell
E: -60.1 eV per cell



Crystalline LaTcNO at its relaxed geometry. Source: OQMD, functional PBE.

The structure in POSCAR format:
```
LaTcNO
1.0
-3.7307 2.0993 -2.6365
-2.7540 0.3679 4.1900
1.7577 4.1204 0.7936
La N O Tc
2 2 2 2
Direct
0.0000 0.0000 0.5000 La
0.5000 0.5000 0.5000 La
0.0000 0.5000 0.4985 N
0.5000 0.0000 0.5015 N
0.0000 0.0000 0.0000 O
0.5000 0.5000 0.0000 O
0.5000 0.0000 0.0006 Tc
0.0000 0.5000 0.9994 Tc
```

magnetic moment: 4.7 μB/cell
energy above the lowest structure with this stoichiometry: 714 meV/atom



Crystalline MgCoNiS3 at its relaxed geometry. Source: OQMD, functional PBE.

The structure in POSCAR format:
```
MgCoNiS3
1.0
-1.7457 -2.9904 -0.3842
-0.0348 -1.2451 -5.9470
7.4921 -4.4887 0.8959
Co Mg Ni S
2 2 2 6
Direct
0.5340 0.9320 0.2500 Co
0.4660 0.0680 0.7500 Co
0.2447 0.5105 0.2500 Mg
0.7553 0.4895 0.7500 Mg
0.0000 0.0000 0.0000 Ni
0.0000 0.0000 0.5000 Ni
0.6435 0.7130 0.0520 S
0.9242 0.1515 0.2500 S
0.6435 0.7130 0.4480 S
0.3565 0.2870 0.5520 S
0.0758 0.8485 0.7500 S
0.3565 0.2870 0.9480 S
```

magnetic moment: 0.6 μB/cell
energy above the lowest structure with this stoichiometry: 43 meV/atom



Crystalline InFeCuTc at its relaxed geometry. Source: OQMD, functional PBE.

The structure in POSCAR format:
```
InFeCuTc
1.0
3.9601 0.1354 1.7085
1.1739 3.3428 2.4632
0.5363 -0.5337 4.2482
Cu Fe In Tc
1 1 1 1
Direct
0.7500 0.7500 0.7500 Cu
0.2500 0.2500 0.2500 Fe
0.0000 0.0000 0.0000 In
0.5000 0.5000 0.5000 Tc
```

magnetic moment: 2.9 μB/cell
energy above the lowest structure with this stoichiometry: 0 meV/atom



Crystalline Tb2YIn3Pd3 at its relaxed geometry. Source: OQMD, functional PBE.

The structure in POSCAR format:
```
Tb2YIn3Pd3
1.0
3.8649 0.0000 0.0000
0.0000 6.6825 3.8506
0.0000 -6.6825 3.8506
In Pd Tb Y
3 3 2 1
Direct
0.5000 0.2586 0.0015 In
0.5000 0.0015 0.2586 In
0.5000 0.7399 0.7399 In
0.5000 0.6685 0.3330 Pd
0.5000 0.3330 0.6685 Pd
0.0000 0.9984 0.9984 Pd
0.0000 0.5915 0.0004 Tb
0.0000 0.0004 0.5915 Tb
0.0000 0.4082 0.4082 Y
```

magnetic moment: 0.0 μB/cell
E: -46.9 eV per cell



Crystalline Ta2Te2Se at its relaxed geometry. Source: OQMD, functional PBE.

The structure in POSCAR format:
```
Ta2Te2Se
1.0
-6.6984 4.2441 -0.1434
-7.2878 1.9220 -2.4690
2.4377 -8.9362 8.3051
Se Ta Te
2 4 4
Direct
0.9115 0.9115 0.0274 Se
0.0885 0.0885 0.9726 Se
0.5807 0.5807 0.1390 Ta
0.2286 0.2286 0.3903 Ta
0.7714 0.7714 0.6097 Ta
0.4193 0.4193 0.8610 Ta
0.8030 0.8030 0.2777 Te
0.5687 0.5687 0.3577 Te
0.4313 0.4313 0.6423 Te
0.1970 0.1970 0.7224 Te
```

magnetic moment: 0.0 μB/cell
energy above the lowest structure with this stoichiometry: 31 meV/atom



Crystalline LiMgGaHg at its relaxed geometry. Source: OQMD, functional PBE.

The structure in POSCAR format:
```
LiMgGaHg
1.0
-0.4046 -4.4347 -1.6090
-4.1287 -1.5143 -1.7548
-0.4467 -0.8016 -4.6451
Ga Hg Li Mg
1 1 1 1
Direct
0.5000 0.5000 0.5000 Ga
0.0000 0.0000 0.0000 Hg
0.7500 0.7500 0.7500 Li
0.2500 0.2500 0.2500 Mg
```

energy above the lowest structure with this stoichiometry: 0 meV/atom



Crystalline DyScBr2N at its relaxed geometry. Source: OQMD, functional PBE.

The structure in POSCAR format:
```
DyScBr2N
1.0
-2.1313 -2.6485 -1.0281
1.5105 -0.0815 3.2134
-7.9628 4.9064 3.8675
Br Dy N Sc
2 1 1 1
Direct
0.6667 0.3333 0.1841 Br
0.3333 0.6667 0.8019 Br
0.3333 0.6667 0.3804 Dy
0.0000 0.0000 0.5104 N
0.6667 0.3333 0.6232 Sc
```

magnetic moment: 0.0 μB/cell
E: -31.1 eV per cell